# Ac3LaPd12

A geometry-optimized Ac3LaPd12 structure (PBE, Alexandria via LeMat-Bulk).

Output
- crystal system = tetragonal
- calculated density (g/cm³) = 11.0
- VASP energy (eV/atom) = -5.72
- total moment (μB per formula unit) = 0.00
- ΔE_f (meV/atom) = -745

abc: 4.2925 4.2925 17.1941
angles: 90.00 90.00 90.00
Space group P4/mmm (No. 123)
One atom of each set of equivalent atoms:
Ac 0.0000 0.0000 0.0000 (multiplicity 1)
Ac 0.0000 0.0000 0.2524 (multiplicity 2)
La 0.0000 0.0000 0.5000 (multiplicity 1)
Pd 0.0000 0.5000 0.1263 (multiplicity 4)
Pd 0.0000 0.5000 0.3788 (multiplicity 4)
Pd 0.5000 0.5000 0.0000 (multiplicity 1)
Pd 0.5000 0.5000 0.2527 (multiplicity 2)
Pd 0.5000 0.5000 0.5000 (multiplicity 1)

# AcLa3Pd2

A geometry-optimized AcLa3Pd2 structure (PBE, Alexandria via LeMat-Bulk).

Output
- crystal system = monoclinic
- calculated density (g/cm³) = 7.7
- VASP energy (eV/atom) = -5.40
- total moment (μB per formula unit) = 0.00
- ΔE_f (meV/atom) = -524

abc: 18.8602 4.0327 10.2147
angles: 90.00 107.73 90.00
Space group C2/m (No. 12)
One atom of each set of equivalent atoms:
Ac 0.1092 0.0000 0.1242 (multiplicity 4)
La 0.0320 0.0000 0.6686 (multiplicity 4)
La 0.1584 0.5000 0.4839 (multiplicity 4)
La 0.1889 0.5000 0.8681 (multiplicity 4)
Pd 0.0196 0.5000 0.8726 (multiplicity 4)
Pd 0.2484 0.0000 0.7084 (multiplicity 4)

# AcLaPd

A geometry-optimized AcLaPd structure (PBE, Alexandria via LeMat-Bulk).

Output
- crystal system = monoclinic
- calculated density (g/cm³) = 7.2
- VASP energy (eV/atom) = -5.19
- ΔE to the lowest computed polymorph (meV per atom) = 8
- total moment (μB per formula unit) = 0.00
- ΔE_f (meV/atom) = -446

abc: 7.0846 7.3483 10.7091
angles: 90.00 128.30 90.00
Space group P2_1/c (No. 14)
One atom of each set of equivalent atoms:
Ac 0.1388 0.0824 0.3834 (multiplicity 4)
La 0.3606 0.5793 0.6152 (multiplicity 4)
Pd 0.3672 0.7395 0.3633 (multiplicity 4)

# Ac3La2Pd2

A geometry-optimized Ac3La2Pd2 structure (PBE, Alexandria via LeMat-Bulk).

Output
- crystal system = monoclinic
- calculated density (g/cm³) = 8.2
- VASP energy (eV/atom) = -5.10
- total moment (μB per formula unit) = 0.00
- ΔE_f (meV/atom) = -444

abc: 13.0406 4.0954 9.6114
angles: 90.00 111.80 90.00
Space group C2/m (No. 12)
One atom of each set of equivalent atoms:
Ac 0.0000 0.0000 0.0000 (multiplicity 2)
Ac 0.1186 0.0000 0.4321 (multiplicity 4)
La 0.1679 0.5000 0.8052 (multiplicity 4)
Pd 0.1651 0.5000 0.2076 (multiplicity 4)

# AcLaPdPt

A geometry-optimized AcLaPdPt structure (PBE, Alexandria via LeMat-Bulk).

Output
- crystal system = cubic
- calculated density (g/cm³) = 10.7
- VASP energy (eV/atom) = -5.96
- ΔE to the lowest computed polymorph (meV per atom) = 113
- total moment (μB per formula unit) = 0.00
- ΔE_f (meV/atom) = -888

abc: 7.4601 7.4601 7.4601
angles: 90.00 90.00 90.00
Space group F-43m (No. 216)
One atom of each set of equivalent atoms:
Ac 0.0000 0.0000 0.0000 (multiplicity 4)
La 0.0000 0.0000 0.5000 (multiplicity 4)
Pd 0.2500 0.2500 0.7500 (multiplicity 4)
Pt 0.2500 0.2500 0.2500 (multiplicity 4)

# AcLaPdPt

A geometry-optimized AcLaPdPt structure (PBE, Alexandria via LeMat-Bulk).

Output
- crystal system = orthorhombic
- calculated density (g/cm³) = 10.3
- VASP energy (eV/atom) = -6.07
- ΔE to the lowest computed polymorph (meV per atom) = 0
- total moment (μB per formula unit) = 0.00
- ΔE_f (meV/atom) = -1001

abc: 4.6211 4.0722 11.4337
angles: 90.00 90.00 90.00
Space group Amm2 (No. 38)
One atom of each set of equivalent atoms:
Ac 0.0000 0.0000 0.0000 (multiplicity 2)
La 0.5000 0.0000 0.7313 (multiplicity 2)
Pd 0.5000 0.0000 0.4513 (multiplicity 2)
Pt 0.0000 0.0000 0.2731 (multiplicity 2)

# AcLaPdRh

A geometry-optimized AcLaPdRh structure (PBE, Alexandria via LeMat-Bulk).

Output
- crystal system = orthorhombic
- calculated density (g/cm³) = 9.2
- VASP energy (eV/atom) = -6.17
- ΔE to the lowest computed polymorph (meV per atom) = 0
- total moment (μB per formula unit) = 0.00
- ΔE_f (meV/atom) = -772

abc: 4.4200 4.0967 11.5173
angles: 90.00 90.00 90.00
Space group Amm2 (No. 38)
One atom of each set of equivalent atoms:
Ac 0.0000 0.0000 0.0000 (multiplicity 2)
La 0.5000 0.0000 0.7269 (multiplicity 2)
Pd 0.5000 0.0000 0.4417 (multiplicity 2)
Rh 0.0000 0.0000 0.2639 (multiplicity 2)

# AcLaPdRh

A geometry-optimized AcLaPdRh structure (PBE, Alexandria via LeMat-Bulk).

Output
- crystal system = cubic
- calculated density (g/cm³) = 9.5
- VASP energy (eV/atom) = -6.08
- ΔE to the lowest computed polymorph (meV per atom) = 86
- total moment (μB per formula unit) = 0.00
- ΔE_f (meV/atom) = -687

abc: 7.3818 7.3818 7.3818
angles: 90.00 90.00 90.00
Space group F-43m (No. 216)
One atom of each set of equivalent atoms:
Ac 0.0000 0.0000 0.0000 (multiplicity 4)
La 0.0000 0.0000 0.5000 (multiplicity 4)
Pd 0.2500 0.2500 0.2500 (multiplicity 4)
Rh 0.2500 0.2500 0.7500 (multiplicity 4)

# Ac2La2Pd2Rh

A geometry-optimized Ac2La2Pd2Rh structure (PBE, Alexandria via LeMat-Bulk).

Output
- crystal system = monoclinic
- calculated density (g/cm³) = 8.0
- VASP energy (eV/atom) = -5.76
- total moment (μB per formula unit) = 0.00
- ΔE_f (meV/atom) = -648

abc: 14.6207 4.1695 8.2172
angles: 90.00 119.71 90.00
Space group C2/m (No. 12)
One atom of each set of equivalent atoms:
Ac 0.0362 0.0000 0.2693 (multiplicity 4)
La 0.2119 0.5000 0.7780 (multiplicity 4)
Pd 0.1179 0.5000 0.0516 (multiplicity 4)
Rh 0.0000 0.5000 0.5000 (multiplicity 2)

# Ac2La2PdRh2

A geometry-optimized Ac2La2PdRh2 structure (PBE, Alexandria via LeMat-Bulk).

Output
- crystal system = monoclinic
- calculated density (g/cm³) = 8.0
- VASP energy (eV/atom) = -6.05
- total moment (μB per formula unit) = 0.00
- ΔE_f (meV/atom) = -630

abc: 14.5233 4.0584 8.4087
angles: 90.00 118.87 90.00
Space group C2/m (No. 12)
One atom of each set of equivalent atoms:
Ac 0.0287 0.0000 0.2477 (multiplicity 4)
La 0.2227 0.5000 0.7953 (multiplicity 4)
Pd 0.0000 0.5000 0.5000 (multiplicity 2)
Rh 0.1204 0.5000 0.0399 (multiplicity 4)

# AcLaSb2Pd5

A geometry-optimized AcLaSb2Pd5 structure (PBE, Alexandria via LeMat-Bulk).

Output
- uncorrected formation energy (meV per atom) = -777
- crystal system = tetragonal
- calculated density (g/cm³) = 9.5
- VASP energy (eV/atom) = -5.58
- total moment (μB per formula unit) = 0.00

abc: 4.5270 4.5270 9.7564
angles: 90.00 90.00 90.00
Space group P4/mmm (No. 123)
One atom of each set of equivalent atoms:
Ac 0.0000 0.0000 0.0000 (multiplicity 1)
La 0.0000 0.0000 0.5000 (multiplicity 1)
Sb 0.5000 0.5000 0.3491 (multiplicity 2)
Pd 0.0000 0.5000 0.2128 (multiplicity 4)
Pd 0.5000 0.5000 0.0000 (multiplicity 1)

# Ac2LaSb3Pd4

A geometry-optimized Ac2LaSb3Pd4 structure (PBE, Alexandria via LeMat-Bulk).

Output
- uncorrected formation energy (meV per atom) = -939
- crystal system = tetragonal
- calculated density (g/cm³) = 9.0
- VASP energy (eV/atom) = -5.57
- total moment (μB per formula unit) = 0.00

abc: 4.6993 4.6993 11.5758
angles: 90.00 90.00 90.00
Space group P-4m2 (No. 115)
One atom of each set of equivalent atoms:
Ac 0.0000 0.5000 0.2110 (multiplicity 2)
La 0.0000 0.0000 0.5000 (multiplicity 1)
Sb 0.0000 0.5000 0.8758 (multiplicity 2)
Sb 0.5000 0.5000 0.5000 (multiplicity 1)
Pd 0.0000 0.0000 0.0000 (multiplicity 1)
Pd 0.0000 0.5000 0.6478 (multiplicity 2)
Pd 0.5000 0.5000 0.0000 (multiplicity 1)

# AcLaSbPd

A geometry-optimized AcLaSbPd structure (PBE, Alexandria via LeMat-Bulk).

Output
- uncorrected formation energy (meV per atom) = -786
- crystal system = cubic
- calculated density (g/cm³) = 8.3
- VASP energy (eV/atom) = -5.37
- total moment (μB per formula unit) = 0.95

abc: 7.7982 7.7982 7.7982
angles: 90.00 90.00 90.00
Space group F-43m (No. 216)
One atom of each set of equivalent atoms:
Ac 0.0000 0.0000 0.0000 (multiplicity 4)
La 0.0000 0.0000 0.5000 (multiplicity 4)
Sb 0.2500 0.2500 0.7500 (multiplicity 4)
Pd 0.2500 0.2500 0.2500 (multiplicity 4)

# AcLaSiPd

A geometry-optimized AcLaSiPd structure (PBE, Alexandria via LeMat-Bulk).

Output
- uncorrected formation energy (meV per atom) = -595
- crystal system = cubic
- calculated density (g/cm³) = 7.7
- VASP energy (eV/atom) = -5.51
- total moment (μB per formula unit) = 0.00

abc: 7.5461 7.5461 7.5461
angles: 90.00 90.00 90.00
Space group F-43m (No. 216)
One atom of each set of equivalent atoms:
Ac 0.0000 0.0000 0.0000 (multiplicity 4)
La 0.0000 0.0000 0.5000 (multiplicity 4)
Si 0.2500 0.2500 0.2500 (multiplicity 4)
Pd 0.2500 0.2500 0.7500 (multiplicity 4)

# AcLaSi2Pd2

A geometry-optimized AcLaSi2Pd2 structure (PBE, Alexandria via LeMat-Bulk).

Output
- uncorrected formation energy (meV per atom) = -898
- crystal system = trigonal
- calculated density (g/cm³) = 7.5
- VASP energy (eV/atom) = -5.94
- total moment (μB per formula unit) = 0.00

abc: 4.2902 4.2902 8.8012
angles: 90.00 90.00 120.00
Space group P-3m1 (No. 164)
One atom of each set of equivalent atoms:
Ac 0.0000 0.0000 0.0000 (multiplicity 1)
La 0.0000 0.0000 0.5000 (multiplicity 1)
Si 0.3333 0.6667 0.7408 (multiplicity 2)
Pd 0.3333 0.6667 0.2569 (multiplicity 2)

# Ac2LaSi3Pd12

A geometry-optimized Ac2LaSi3Pd12 structure (PBE, Alexandria via LeMat-Bulk).

Output
- uncorrected formation energy (meV per atom) = -453
- crystal system = trigonal
- calculated density (g/cm³) = 8.6
- VASP energy (eV/atom) = -5.55
- total moment (μB per formula unit) = 0.00

abc: 8.5186 8.5186 18.0896
angles: 90.00 90.00 120.00
Space group R-3m (No. 166, hexagonal axes)
One atom of each set of equivalent atoms:
Ac 0.0000 0.0000 0.1007 (multiplicity 6)
La 0.0000 0.0000 0.5000 (multiplicity 3)
Si 0.0000 0.5000 0.0000 (multiplicity 9)
Pd 0.0301 0.5150 0.8702 (multiplicity 18)
Pd 0.0435 0.5217 0.3595 (multiplicity 18)

# Ac2LaSn3Pd4

A geometry-optimized Ac2LaSn3Pd4 structure (PBE, Alexandria via LeMat-Bulk).

Output
- crystal system = tetragonal
- calculated density (g/cm³) = 9.0
- VASP energy (eV/atom) = -5.42
- total moment (μB per formula unit) = 0.00
- ΔE_f (meV/atom) = -827

abc: 4.7622 4.7622 11.2331
angles: 90.00 90.00 90.00
Space group P-4m2 (No. 115)
One atom of each set of equivalent atoms:
Ac 0.0000 0.5000 0.2216 (multiplicity 2)
La 0.0000 0.0000 0.5000 (multiplicity 1)
Sn 0.0000 0.5000 0.8821 (multiplicity 2)
Sn 0.5000 0.5000 0.5000 (multiplicity 1)
Pd 0.0000 0.0000 0.0000 (multiplicity 1)
Pd 0.0000 0.5000 0.6468 (multiplicity 2)
Pd 0.5000 0.5000 0.0000 (multiplicity 1)

# AcLaSnPd

A geometry-optimized AcLaSnPd structure (PBE, Alexandria via LeMat-Bulk).

Output
- crystal system = cubic
- calculated density (g/cm³) = 8.2
- VASP energy (eV/atom) = -5.22
- total moment (μB per formula unit) = 0.00
- ΔE_f (meV/atom) = -666

abc: 7.8173 7.8173 7.8173
angles: 90.00 90.00 90.00
Space group F-43m (No. 216)
One atom of each set of equivalent atoms:
Ac 0.0000 0.0000 0.0000 (multiplicity 4)
La 0.0000 0.0000 0.5000 (multiplicity 4)
Sn 0.2500 0.2500 0.2500 (multiplicity 4)
Pd 0.2500 0.2500 0.7500 (multiplicity 4)

# AcLa2Sn2Pd7

A geometry-optimized AcLa2Sn2Pd7 structure (PBE, Alexandria via LeMat-Bulk).

Output
- crystal system = monoclinic
- calculated density (g/cm³) = 9.1
- VASP energy (eV/atom) = -5.57
- total moment (μB per formula unit) = 0.00
- ΔE_f (meV/atom) = -713

abc: 6.1349 6.0188 14.8074
angles: 90.00 97.86 90.00
Space group C2/m (No. 12)
One atom of each set of equivalent atoms:
Ac 0.0000 0.0000 0.0000 (multiplicity 2)
La 0.1142 0.0000 0.3662 (multiplicity 4)
Sn 0.0840 0.5000 0.2538 (multiplicity 4)
Pd 0.0000 0.5000 0.0000 (multiplicity 2)
Pd 0.1347 0.5000 0.4356 (multiplicity 4)
Pd 0.2006 0.2503 0.8508 (multiplicity 8)

# AcLaTlPd

A geometry-optimized AcLaTlPd structure (PBE, Alexandria via LeMat-Bulk).

Output
- crystal system = cubic
- calculated density (g/cm³) = 9.4
- VASP energy (eV/atom) = -4.62
- total moment (μB per formula unit) = 0.00
- ΔE_f (meV/atom) = -467

abc: 7.8314 7.8314 7.8314
angles: 90.00 90.00 90.00
Space group F-43m (No. 216)
One atom of each set of equivalent atoms:
Ac 0.0000 0.0000 0.0000 (multiplicity 4)
La 0.0000 0.0000 0.5000 (multiplicity 4)
Tl 0.2500 0.2500 0.2500 (multiplicity 4)
Pd 0.2500 0.2500 0.7500 (multiplicity 4)

# AcLaZn2Pd2

A geometry-optimized AcLaZn2Pd2 structure (PBE, Alexandria via LeMat-Bulk).

Output
- crystal system = trigonal
- calculated density (g/cm³) = 8.3
- VASP energy (eV/atom) = -4.34
- total moment (μB per formula unit) = 0.00
- ΔE_f (meV/atom) = -681

abc: 4.5543 4.5543 7.8963
angles: 90.00 90.00 120.00
Space group P-3m1 (No. 164)
One atom of each set of equivalent atoms:
Ac 0.0000 0.0000 0.0000 (multiplicity 1)
La 0.0000 0.0000 0.5000 (multiplicity 1)
Zn 0.3333 0.6667 0.2654 (multiplicity 2)
Pd 0.3333 0.6667 0.7400 (multiplicity 2)

# AcLaPm2

A geometry-optimized AcLaPm2 structure (PBE, Alexandria via LeMat-Bulk).

Output
- crystal system = trigonal
- calculated density (g/cm³) = 7.2
- VASP energy (eV/atom) = -4.60
- ΔE to the lowest computed polymorph (meV per atom) = 12
- total moment (μB per formula unit) = 0.00
- ΔE_f (meV/atom) = 34

abc: 3.7841 3.7841 36.4957
angles: 90.00 90.00 120.00
Space group R3m (No. 160, hexagonal axes)
One atom of each set of equivalent atoms:
Ac 0.0000 0.0000 0.0000 (multiplicity 3)
La 0.0000 0.0000 0.8338 (multiplicity 3)
Pm 0.0000 0.0000 0.2482 (multiplicity 3)
Pm 0.0000 0.0000 0.4195 (multiplicity 3)

# Ac6La8Pm

A geometry-optimized Ac6La8Pm structure (PBE, Alexandria via LeMat-Bulk).

Output
- crystal system = trigonal
- calculated density (g/cm³) = 7.2
- VASP energy (eV/atom) = -4.50
- total moment (μB per formula unit) = 0.00
- ΔE_f (meV/atom) = 90

abc: 9.6737 9.6737 22.2440
angles: 90.00 90.00 120.00
Space group R-3 (No. 148, hexagonal axes)
One atom of each set of equivalent atoms:
Ac 0.0484 0.2506 0.2076 (multiplicity 18)
La 0.0000 0.0000 0.0733 (multiplicity 6)
La 0.0807 0.5692 0.3072 (multiplicity 18)
Pm 0.0000 0.0000 0.5000 (multiplicity 3)

# Ac5La2Pm6

A geometry-optimized Ac5La2Pm6 structure (PBE, Alexandria via LeMat-Bulk).

Output
- crystal system = orthorhombic
- calculated density (g/cm³) = 7.4
- VASP energy (eV/atom) = -4.44
- total moment (μB per formula unit) = 0.00
- ΔE_f (meV/atom) = 86

abc: 12.1843 22.0085 3.8096
angles: 90.00 90.00 90.00
Space group Pbam (No. 55)
One atom of each set of equivalent atoms:
Ac 0.0000 0.0000 0.0000 (multiplicity 2)
Ac 0.0499 0.2930 0.0000 (multiplicity 4)
Ac 0.1956 0.5750 0.0000 (multiplicity 4)
La 0.2072 0.7349 0.5000 (multiplicity 4)
Pm 0.0516 0.1460 0.5000 (multiplicity 4)
Pm 0.0791 0.4370 0.5000 (multiplicity 4)
Pm 0.1939 0.8769 0.0000 (multiplicity 4)